Arrangement i

Density functional theory data (PBE) for crystalline TlAs2Rh at its relaxed geometry.

a = 8.666 Å, b = 8.666 Å, c = 8.666 Å
α = 22.15°, β = 22.15°, γ = 22.15°
Element x y z (fractional)
As  0.992  0.992  0.992
Rh  0.513  0.513  0.513
Tl  0.757  0.757  0.757
As  0.239  0.239  0.239

Arrangement ii

Density functional theory data (PBE) for crystalline TlAs2Rh at its relaxed geometry.

a = 3.834 Å, b = 3.948 Å, c = 6.018 Å
α = 78.14°, β = 90.00°, γ = 90.00°
Element x y z (fractional)
As  0.500  0.378  0.182
Tl  0.500  0.795  0.678
Rh  0.000  0.381  0.457
As  0.000  0.946  0.183

Arrangement iii

Density functional theory data (PBE) for crystalline TlAs2Rh at its relaxed geometry.

a = 6.105 Å, b = 6.105 Å, c = 6.105 Å
α = 151.57°, β = 132.23°, γ = 56.53°
Element x y z (fractional)
As  0.448  0.448  0.000
As  0.052  0.052  0.000
Tl  0.750  0.250  0.500
Rh  0.250  0.750  0.500

Arrangement iv

Density functional theory data (PBE) for crystalline TlAs2Rh at its relaxed geometry.

a = 5.087 Å, b = 5.087 Å, c = 5.087 Å
α = 129.25°, β = 129.25°, γ = 74.61°
Element x y z (fractional)
Rh  0.500  0.500  0.000
As  0.000  0.000  0.000
Tl  0.750  0.250  0.500
As  0.250  0.750  0.500

Quick one: least stable of them? arrangement iv

Arrangement i

Density functional theory data (PBE) for crystalline UAsRh2 at its relaxed geometry.

a = 4.941 Å, b = 4.941 Å, c = 5.827 Å
α = 90.00°, β = 90.06°, γ = 90.00°
Element x y z (fractional)
Rh  0.750  0.750  0.599
U  0.249  0.750  0.250
Rh  0.250  0.250  0.401
As  0.250  0.750  0.750
Rh  0.749  0.750  0.099
Rh  0.251  0.250  0.901
As  0.750  0.250  0.250
U  0.751  0.250  0.750

Arrangement ii

Density functional theory data (PBE) for crystalline UAsRh2 at its relaxed geometry.

a = 4.173 Å, b = 4.173 Å, c = 5.332 Å
α = 66.96°, β = 66.96°, γ = 60.00°
Element x y z (fractional)
U  0.000  0.000  0.000
As  0.500  0.500  0.500
Rh  0.224  0.224  0.329
Rh  0.776  0.776  0.671

Quick one: least stable of them? arrangement ii